Computed, not measured: crystalline LiLaTmCr at its relaxed geometry at the GGA-PBE level of DFT. Values from VASP.

Values from the calculation:
Final energy, eV/atom: -5.025
Crystal system: cubic

```
&SYSTEM
  ibrav = 0, nat = 4, ntyp = 4
/
ATOMIC_SPECIES
Li 6.94 Li.upf
La 138.91 La.upf
Tm 168.93 Tm.upf
Cr 52.00 Cr.upf
CELL_PARAMETERS angstrom
0.000 3.664 3.664
3.664 0.000 3.664
3.664 3.664 0.000
ATOMIC_POSITIONS angstrom
Li 0.000 0.000 0.000
La 5.497 5.497 5.497
Tm 1.832 1.832 1.832
Cr 3.664 3.664 3.664
```